Record 1
An optimized crystal structure of Li2PO2. Source: the Alexandria database, functional PBE.

Unit cell a=5.963 b=5.963 c=2.563 alpha=90.00 beta=90.00 gamma=90.00
Space group P4/mbm (No. 127)
One atom of each set of equivalent atoms:
Li  0.125  0.375  0.000 [4 per cell]
P  0.000  0.000  0.000 [2 per cell]
O  0.184  0.684  0.500 [4 per cell]

**Distance to the lowest polymorph of the same formula**: 0 meV/atom
**DFT total energy**: -44.1 eV for the cell shown

=====

Record 2
An optimized crystal structure of Li2PO4. Source: the Alexandria database, functional PBE.

Unit cell a=10.497 b=2.725 c=4.960 alpha=90.00 beta=112.34 gamma=90.00
Space group C2/m (No. 12)
One atom of each set of equivalent atoms:
Li  0.165  0.000  0.096 [4 per cell]
P  0.000  0.500  0.500 [2 per cell]
O  0.071  0.000  0.366 [4 per cell]
O  0.134  0.500  0.801 [4 per cell]

**Distance to the lowest polymorph of the same formula**: 217 meV/atom
**DFT total energy**: -82.6 eV for the cell shown

=====

Record 3
An optimized crystal structure of Li2PO3. Source: the Alexandria database, functional PBE.

Unit cell a=7.814 b=3.347 c=9.931 alpha=90.00 beta=90.00 gamma=90.00
Space group Pnma (No. 62)
One atom of each set of equivalent atoms:
Li  0.102  0.250  0.186 [4 per cell]
Li  0.104  0.250  0.619 [4 per cell]
P  0.221  0.250  0.901 [4 per cell]
O  0.126  0.750  0.297 [4 per cell]
O  0.136  0.750  0.884 [4 per cell]
O  0.200  0.750  0.548 [4 per cell]

**DFT total energy**: -143.7 eV for the cell shown

=====

Record 4
An optimized crystal structure of LiP2O2. Source: the Alexandria database, functional PBE.

Unit cell a=3.560 b=3.560 c=4.599 alpha=90.00 beta=90.00 gamma=90.00
Space group P4/mmm (No. 123)
One atom of each set of equivalent atoms:
Li  0.000  0.000  0.000 [1 per cell]
P  0.000  0.000  0.500 [1 per cell]
P  0.500  0.500  0.500 [1 per cell]
O  0.000  0.500  0.000 [2 per cell]

**Distance to the lowest polymorph of the same formula**: 1262 meV/atom
**DFT total energy**: -20.6 eV for the cell shown

=====

Record 5
An optimized crystal structure of Li8P2O. Source: the Alexandria database, functional PBE.

Unit cell a=14.557 b=4.108 c=5.058 alpha=90.00 beta=109.94 gamma=90.00
Space group C2/m (No. 12)
One atom of each set of equivalent atoms:
Li  0.003  0.000  0.239 [4 per cell]
Li  0.099  0.500  0.829 [4 per cell]
Li  0.118  0.500  0.339 [4 per cell]
Li  0.228  0.000  0.208 [4 per cell]
P  0.157  0.000  0.653 [4 per cell]
O  0.000  0.500  0.000 [2 per cell]

**DFT total energy**: -82.2 eV for the cell shown

=====

Record 6
An optimized crystal structure of Li2PO2. Source: the Alexandria database, functional PBE.

Unit cell a=3.775 b=3.775 c=7.094 alpha=90.00 beta=90.00 gamma=90.00
Space group I4/mmm (No. 139)
One atom of each set of equivalent atoms:
Li  0.000  0.000  0.170 [4 per cell]
P  0.000  0.000  0.500 [2 per cell]
O  0.000  0.500  0.250 [4 per cell]

**Distance to the lowest polymorph of the same formula**: 97 meV/atom
**DFT total energy**: -43.1 eV for the cell shown

=====

Record 7
An optimized crystal structure of LiPO3. Source: the Alexandria database, functional PBE.

Unit cell a=5.411 b=17.322 c=9.007 alpha=90.00 beta=116.93 gamma=90.00
Space group P2_1/c (No. 14)
One atom of each set of equivalent atoms:
Li  0.081  0.020  0.373 [4 per cell]
Li  0.089  0.690  0.276 [4 per cell]
Li  0.185  0.657  0.939 [4 per cell]
P  0.385  0.189  0.910 [4 per cell]
P  0.390  0.100  0.195 [4 per cell]
P  0.492  0.062  0.722 [4 per cell]
O  0.135  0.217  0.759 [4 per cell]
O  0.166  0.104  0.249 [4 per cell]
O  0.186  0.058  0.606 [4 per cell]
O  0.266  0.134  0.009 [4 per cell]
O  0.312  0.567  0.853 [4 per cell]
O  0.327  0.633  0.194 [4 per cell]
O  0.405  0.743  0.471 [4 per cell]
O  0.425  0.011  0.152 [4 per cell]
O  0.438  0.630  0.645 [4 per cell]

**DFT total energy**: -403.3 eV for the cell shown

=====

Record 8
An optimized crystal structure of LiPO3. Source: the Alexandria database, functional PBE.

Unit cell a=13.315 b=5.513 c=19.626 alpha=90.00 beta=122.53 gamma=90.00
Space group P2/c (No. 13)
One atom of each set of equivalent atoms:
Li  0.000  0.009  0.250 [2 per cell]
Li  0.117  0.477  0.558 [4 per cell]
Li  0.148  0.498  0.327 [4 per cell]
Li  0.353  0.480  0.174 [4 per cell]
Li  0.383  0.488  0.443 [4 per cell]
Li  0.500  0.036  0.750 [2 per cell]
P  0.062  0.156  0.916 [4 per cell]
P  0.138  0.174  0.185 [4 per cell]
P  0.269  0.191  0.508 [4 per cell]
P  0.329  0.188  0.795 [4 per cell]
P  0.474  0.152  0.101 [4 per cell]
O  0.023  0.078  0.101 [4 per cell]
O  0.030  0.350  0.955 [4 per cell]
O  0.062  0.215  0.841 [4 per cell]
O  0.100  0.254  0.240 [4 per cell]
O  0.190  0.054  0.986 [4 per cell]
O  0.203  0.345  0.162 [4 per cell]
O  0.211  0.078  0.718 [4 per cell]
O  0.241  0.326  0.434 [4 per cell]
O  0.261  0.322  0.572 [4 per cell]
O  0.292  0.355  0.838 [4 per cell]
O  0.391  0.049  0.352 [4 per cell]
O  0.401  0.080  0.546 [4 per cell]
O  0.407  0.278  0.766 [4 per cell]
O  0.439  0.204  0.161 [4 per cell]
O  0.471  0.349  0.047 [4 per cell]

**DFT total energy**: -672.1 eV for the cell shown

=====

Record 9
An optimized crystal structure of LiP2O6. Source: the Alexandria database, functional PBE.

Unit cell a=10.068 b=9.088 c=5.001 alpha=90.00 beta=107.35 gamma=90.00
Space group C2/c (No. 15)
One atom of each set of equivalent atoms:
Li  0.000  0.103  0.250 [4 per cell]
P  0.215  0.413  0.246 [8 per cell]
O  0.130  0.074  0.659 [8 per cell]
O  0.147  0.498  0.458 [8 per cell]
O  0.149  0.262  0.203 [8 per cell]

**DFT total energy**: -238.6 eV for the cell shown

=====

Record 10
An optimized crystal structure of LiP2O2. Source: the Alexandria database, functional PBE.

Unit cell a=3.100 b=3.100 c=12.353 alpha=90.00 beta=90.00 gamma=90.00
Space group I4/mmm (No. 139)
One atom of each set of equivalent atoms:
Li  0.000  0.000  0.000 [2 per cell]
P  0.000  0.500  0.250 [4 per cell]
O  0.000  0.000  0.395 [4 per cell]

**Distance to the lowest polymorph of the same formula**: 744 meV/atom
**DFT total energy**: -46.3 eV for the cell shown

=====

Record 11
An optimized crystal structure of LiPO3. Source: the Alexandria database, functional PBE.

Unit cell a=5.439 b=2.732 c=7.372 alpha=90.00 beta=98.36 gamma=90.00
Space group P2_1/m (No. 11)
One atom of each set of equivalent atoms:
Li  0.181  0.250  0.130 [2 per cell]
P  0.295  0.250  0.726 [2 per cell]
O  0.098  0.250  0.850 [2 per cell]
O  0.244  0.750  0.596 [2 per cell]
O  0.437  0.750  0.196 [2 per cell]

**DFT total energy**: -66.1 eV for the cell shown

=====

Record 12
An optimized crystal structure of Li2PO. Source: the Alexandria database, functional PBE.

Unit cell a=5.742 b=5.742 c=5.742 alpha=90.00 beta=90.00 gamma=90.00
Space group Fm-3m (No. 225)
One atom of each set of equivalent atoms:
Li  0.250  0.250  0.250 [8 per cell]
P  0.000  0.000  0.000 [4 per cell]
O  0.000  0.000  0.500 [4 per cell]

**Distance to the lowest polymorph of the same formula**: 555 meV/atom
**DFT total energy**: -60.3 eV for the cell shown

=====

Record 13
An optimized crystal structure of LiP2O2. Source: the Alexandria database, functional PBE.

Unit cell a=3.860 b=3.860 c=3.566 alpha=90.00 beta=90.00 gamma=90.00
Space group P4/mmm (No. 123)
One atom of each set of equivalent atoms:
Li  0.000  0.000  0.000 [1 per cell]
P  0.000  0.500  0.500 [2 per cell]
O  0.000  0.500  0.000 [2 per cell]

**Distance to the lowest polymorph of the same formula**: 0 meV/atom
**DFT total energy**: -26.9 eV for the cell shown

=====

Record 14
An optimized crystal structure of Li2PO. Source: the Alexandria database, functional PBE.

Unit cell a=6.688 b=6.688 c=4.212 alpha=90.00 beta=90.00 gamma=90.00
Space group I-42d (No. 122)
One atom of each set of equivalent atoms:
Li  0.136  0.750  0.125 [8 per cell]
P  0.000  0.000  0.500 [4 per cell]
O  0.000  0.000  0.000 [4 per cell]

**Distance to the lowest polymorph of the same formula**: 0 meV/atom
**DFT total energy**: -69.2 eV for the cell shown

=====

Record 15
An optimized crystal structure of LiP2O2. Source: the Alexandria database, functional PBE.

Unit cell a=4.290 b=4.290 c=3.271 alpha=90.00 beta=90.00 gamma=90.00
Space group P4/mmm (No. 123)
One atom of each set of equivalent atoms:
Li  0.000  0.000  0.000 [1 per cell]
P  0.000  0.500  0.000 [2 per cell]
O  0.000  0.000  0.500 [1 per cell]
O  0.500  0.500  0.500 [1 per cell]

**Distance to the lowest polymorph of the same formula**: 1621 meV/atom
**DFT total energy**: -18.8 eV for the cell shown

=====

Record 16
An optimized crystal structure of Li3PO. Source: the Alexandria database, functional PBE.

Unit cell a=3.873 b=3.873 c=3.873 alpha=90.00 beta=90.00 gamma=90.00
Space group Pm-3m (No. 221)
One atom of each set of equivalent atoms:
Li  0.000  0.000  0.500 [3 per cell]
P  0.500  0.500  0.500 [1 per cell]
O  0.000  0.000  0.000 [1 per cell]

**Distance to the lowest polymorph of the same formula**: 0 meV/atom
**DFT total energy**: -20.8 eV for the cell shown

=====

Asked for E_form (uncorrected) across the records above, the calculation gives -580; -1749; -1967; 420; -912; -483; -2282; -2282; -1907; -98; -2175; -220; -842; -775; 779; -937 meV/atom in order.